The following is a DFT calculation (PBE) of CuTePCl2 after structural relaxation.

Its symmetry is No. 123. For the calculated volume, the calculation gives 20.73 Å³ per atom. The mass density comes out at 4.7 g/cm³. The value obtained for the formation energy (no corrections) is 262 meV/atom.

Cell lengths 4.5513, 4.5513, 5.0047 Å; angles 90.00, 90.00, 90.00 degrees
Sites, in units of the cell vectors:
Te: 0.5000 0.5000 0.5000
Cu: 0.0000 0.0000 0.0000
Cl: 0.5000 0.0000 0.0000
P: 0.0000 0.0000 0.5000
Cl: 0.0000 0.5000 0.0000

The following is a DFT calculation (PBE) of CuTePCl2 after structural relaxation.

Its symmetry is No. 123. For the calculated volume, the calculation gives 28.95 Å³ per atom. The mass density comes out at 3.4 g/cm³. The value obtained for the formation energy (no corrections) is 689 meV/atom.

Cell lengths 5.3565, 5.3565, 5.0456 Å; angles 90.00, 90.00, 90.00 degrees
Sites, in units of the cell vectors:
Cl: 0.0000 0.5000 0.0000
Cl: 0.5000 0.0000 0.0000
P: 0.0000 0.0000 0.5000
Te: 0.0000 0.0000 0.0000
Cu: 0.5000 0.5000 0.5000

The following is a DFT calculation (PBE) of TlCuP2Cl after structural relaxation.

Its symmetry is No. 123. For the calculated volume, the calculation gives 29.11 Å³ per atom. The mass density comes out at 4.2 g/cm³. The value obtained for the formation energy (no corrections) is 1224 meV/atom.

Cell lengths 5.1854, 5.1854, 5.4129 Å; angles 90.00, 90.00, 90.00 degrees
Sites, in units of the cell vectors:
Cl: 0.0000 0.0000 0.5000
Cu: 0.5000 0.5000 0.5000
P: 0.0000 0.5000 0.0000
Tl: 0.0000 0.0000 0.0000
P: 0.5000 0.0000 0.0000

The following is a DFT calculation (PBE) of TlCuP2Cl after structural relaxation.

Its symmetry is No. 123. For the calculated volume, the calculation gives 28.34 Å³ per atom. The mass density comes out at 4.3 g/cm³. The value obtained for the formation energy (no corrections) is 311 meV/atom.

Cell lengths 4.3724, 4.3724, 7.4111 Å; angles 90.00, 90.00, 90.00 degrees
Sites, in units of the cell vectors:
P: 0.0000 0.5000 0.0000
P: 0.5000 0.0000 0.0000
Cu: 0.0000 0.0000 0.0000
Tl: 0.5000 0.5000 0.5000
Cl: 0.0000 0.0000 0.5000

The following is a DFT calculation (PBE) of VCuP2Cl after structural relaxation.

Its symmetry is No. 123. For the calculated volume, the calculation gives 18.44 Å³ per atom. The mass density comes out at 3.8 g/cm³. The value obtained for the formation energy (no corrections) is 914 meV/atom.

Cell lengths 4.4019, 4.4019, 4.7592 Å; angles 90.00, 90.00, 90.00 degrees
Sites, in units of the cell vectors:
P: 0.5000 0.0000 0.0000
Cl: 0.0000 0.0000 0.5000
V: 0.5000 0.5000 0.5000
P: 0.0000 0.5000 0.0000
Cu: 0.0000 0.0000 0.0000

The following is a DFT calculation (PBE) of VCuP2Cl after structural relaxation.

Its symmetry is No. 123. For the calculated volume, the calculation gives 19.65 Å³ per atom. The mass density comes out at 3.6 g/cm³. The value obtained for the formation energy (no corrections) is 386 meV/atom.

Cell lengths 4.5017, 4.5017, 4.8484 Å; angles 90.00, 90.00, 90.00 degrees
Sites, in units of the cell vectors:
Cl: 0.0000 0.0000 0.5000
Cu: 0.5000 0.5000 0.5000
P: 0.5000 0.0000 0.0000
P: 0.0000 0.5000 0.0000
V: 0.0000 0.0000 0.0000

The following is a DFT calculation (PBE) of CuP2WCl after structural relaxation.

Its symmetry is No. 123. For the calculated volume, the calculation gives 21.32 Å³ per atom. The mass density comes out at 5.4 g/cm³. The value obtained for the formation energy (no corrections) is 632 meV/atom.

Cell lengths 4.6981, 4.6981, 4.8296 Å; angles 90.00, 90.00, 90.00 degrees
Sites, in units of the cell vectors:
P: 0.5000 0.0000 0.0000
Cl: 0.0000 0.0000 0.5000
W: 0.0000 0.0000 0.0000
P: 0.0000 0.5000 0.0000
Cu: 0.5000 0.5000 0.5000

The following is a DFT calculation (PBE) of CuP2WCl after structural relaxation.

Its symmetry is No. 123. For the calculated volume, the calculation gives 18.02 Å³ per atom. The mass density comes out at 6.4 g/cm³. The value obtained for the formation energy (no corrections) is 1281 meV/atom.

Cell lengths 4.4152, 4.4152, 4.6218 Å; angles 90.00, 90.00, 90.00 degrees
Sites, in units of the cell vectors:
Cu: 0.0000 0.0000 0.0000
W: 0.5000 0.5000 0.5000
P: 0.5000 0.0000 0.0000
P: 0.0000 0.5000 0.0000
Cl: 0.0000 0.0000 0.5000

The following is a DFT calculation (PBE) of ZnCuPCl2 after structural relaxation.

Its symmetry is No. 123. For the calculated volume, the calculation gives 21.09 Å³ per atom. The mass density comes out at 3.6 g/cm³. The value obtained for the formation energy (no corrections) is 286 meV/atom.

Cell lengths 4.6864, 4.6864, 4.8004 Å; angles 90.00, 90.00, 90.00 degrees
Sites, in units of the cell vectors:
Cl: 0.0000 0.5000 0.0000
Cl: 0.5000 0.0000 0.0000
Cu: 0.0000 0.0000 0.0000
P: 0.0000 0.0000 0.5000
Zn: 0.5000 0.5000 0.5000

The following is a DFT calculation (PBE) of ZnCuP2Cl after structural relaxation.

Its symmetry is No. 123. For the calculated volume, the calculation gives 20.33 Å³ per atom. The mass density comes out at 3.7 g/cm³. The value obtained for the formation energy (no corrections) is 650 meV/atom.

Cell lengths 4.4437, 4.4437, 5.1468 Å; angles 90.00, 90.00, 90.00 degrees
Sites, in units of the cell vectors:
Cl: 0.0000 0.0000 0.5000
P: 0.5000 0.0000 0.0000
Zn: 0.5000 0.5000 0.5000
P: 0.0000 0.5000 0.0000
Cu: 0.0000 0.0000 0.0000

The following is a DFT calculation (PBE) of PaCuCl6 after structural relaxation.

Its symmetry is No. 12. For the calculated volume, the calculation gives 30.50 Å³ per atom. The mass density comes out at 3.5 g/cm³. The value obtained for the formation energy (no corrections) is -1476 meV/atom.

Cell lengths 6.5996, 6.5975, 6.9975 Å; angles 61.87, 78.61, 65.24 degrees
Sites, in units of the cell vectors:
Cl: 0.7642 0.3798 0.7109
Cl: 0.7642 0.0907 0.2891
Cl: 0.2358 0.6202 0.2891
Cl: 0.7278 0.7275 0.0000
Cu: 0.0000 0.0000 0.0000
Cl: 0.2358 0.9093 0.7109
Pa: 0.5000 0.5000 0.0000
Cl: 0.2722 0.2725 0.0000

The following is a DFT calculation (PBE) of PaCuCl after structural relaxation.

Its symmetry is No. 187. For the calculated volume, the calculation gives 21.39 Å³ per atom. The mass density comes out at 8.5 g/cm³. The value obtained for the formation energy (no corrections) is -275 meV/atom.

Cell lengths 3.3555, 3.3553, 13.1647 Å; angles 90.00, 90.00, 120.00 degrees
Sites, in units of the cell vectors:
Cl: 0.3333 0.6666 0.1735
Pa: 0.6665 0.3330 0.6657
Cu: 0.3331 0.6661 0.5000
Pa: 0.6665 0.3330 0.3343
Cl: 0.3333 0.6666 0.8265
Cu: 0.3340 0.6680 0.0000

The following is a DFT calculation (PBE) of PaCu3Cl9 after structural relaxation.

Its symmetry is No. 9. For the calculated volume, the calculation gives 32.76 Å³ per atom. The mass density comes out at 2.9 g/cm³. The value obtained for the formation energy (no corrections) is -1087 meV/atom.

Cell lengths 9.0734, 10.6444, 10.7675 Å; angles 76.86, 65.08, 64.77 degrees
Sites, in units of the cell vectors:
Cl: 0.8272 0.8968 0.3904
Cl: 0.1323 0.1124 0.6212
Cl: 0.3162 0.3017 0.9268
Cl: 0.1340 0.6124 0.1212
Cl: 0.4917 0.2152 0.5650
Cl: 0.9162 0.3687 0.2200
Cl: 0.4407 0.5298 0.2809
Cl: 0.8856 0.3968 0.8904
Cl: 0.7486 0.0298 0.7809
Cu: 0.9593 0.0458 0.8234
Cu: 0.8370 0.4402 0.6933
Cl: 0.6398 0.4452 0.6273
Cl: 0.0429 0.5184 0.5422
Cl: 0.8964 0.0184 0.0422
Cu: 0.6255 0.2400 0.7033
Cl: 0.4951 0.8687 0.7200
Cu: 0.0294 0.9402 0.1933
Cl: 0.1299 0.6412 0.7851
Cl: 0.2877 0.9452 0.1273
Cu: 0.1716 0.5458 0.3234
Pa: 0.0204 0.5021 0.9989
Cl: 0.7281 0.7152 0.0650
Cl: 0.4439 0.1412 0.2851
Cu: 0.4312 0.7400 0.2033
Pa: 0.4786 0.0021 0.4989
Cl: 0.4554 0.8017 0.4268

The following is a DFT calculation (PBE) of RbPaCu2Cl8 after structural relaxation.

Its symmetry is No. 155. For the calculated volume, the calculation gives 31.47 Å³ per atom. The mass density comes out at 3.2 g/cm³. The value obtained for the formation energy (no corrections) is -1327 meV/atom.

Cell lengths 6.2230, 6.2230, 11.8190 Å; angles 74.74, 74.74, 60.00 degrees
Sites, in units of the cell vectors:
Cl: 0.5498 0.2293 0.3508
Rb: 0.0000 0.0000 0.0000
Cl: 0.2293 0.8702 0.3508
Cl: 0.6884 0.6884 0.9348
Cl: 0.3116 0.3116 0.0652
Cu: 0.2473 0.2473 0.2581
Cl: 0.8702 0.5498 0.3508
Cl: 0.1298 0.7707 0.6492
Cl: 0.4502 0.1298 0.6492
Cl: 0.7707 0.4502 0.6492
Pa: 0.5000 0.5000 0.5000
Cu: 0.7527 0.7527 0.7419

The following is a DFT calculation (PBE) of Rb2PaCu3Cl12 after structural relaxation.

Its symmetry is No. 166. For the calculated volume, the calculation gives 33.94 Å³ per atom. The mass density comes out at 2.8 g/cm³. The value obtained for the formation energy (no corrections) is -1277 meV/atom.

Cell lengths 10.8647, 10.8647, 10.8647 Å; angles 46.26, 46.26, 46.26 degrees
Sites, in units of the cell vectors:
Cl: 0.6854 0.0799 0.6854
Cl: 0.0799 0.6854 0.6854
Cl: 0.3352 0.9078 0.9078
Cl: 0.0922 0.0922 0.6648
Rb: 0.4258 0.4258 0.4258
Cu: 0.5000 0.0000 0.0000
Cu: 0.0000 0.5000 0.0000
Cl: 0.3146 0.9201 0.3146
Rb: 0.5742 0.5742 0.5742
Cl: 0.6854 0.6854 0.0799
Pa: 0.0000 0.0000 0.0000
Cl: 0.0922 0.6648 0.0922
Cl: 0.3146 0.3146 0.9201
Cl: 0.9201 0.3146 0.3146
Cu: 0.0000 0.0000 0.5000
Cl: 0.9078 0.3352 0.9078
Cl: 0.6648 0.0922 0.0922
Cl: 0.9078 0.9078 0.3352

The following is a DFT calculation (PBE) of RbPaCuCl6 after structural relaxation.

Its symmetry is No. 163. For the calculated volume, the calculation gives 32.76 Å³ per atom. The mass density comes out at 3.3 g/cm³. The value obtained for the formation energy (no corrections) is -1577 meV/atom.

Cell lengths 6.6900, 6.6900, 15.2131 Å; angles 90.00, 90.00, 120.00 degrees
Sites, in units of the cell vectors:
Cl: 0.0094 0.6416 0.3502
Rb: 0.0000 0.0000 0.0000
Cl: 0.6322 0.9906 0.3502
Cl: 0.6416 0.6322 0.6498
Pa: 0.6667 0.3333 0.2500
Cl: 0.3678 0.3584 0.8502
Cl: 0.9906 0.3584 0.6498
Cl: 0.6416 0.0094 0.8502
Cl: 0.3678 0.0094 0.6498
Cl: 0.9906 0.6322 0.8502
Cl: 0.3584 0.3678 0.3502
Cl: 0.6322 0.6416 0.1498
Pa: 0.3333 0.6667 0.7500
Cu: 0.6667 0.3333 0.7500
Cl: 0.3584 0.9906 0.1498
Cu: 0.3333 0.6667 0.2500
Rb: 0.0000 0.0000 0.5000
Cl: 0.0094 0.3678 0.1498

The following is a DFT calculation (PBE) of PaTlCu2Cl8 after structural relaxation.

Its symmetry is No. 155. For the calculated volume, the calculation gives 30.56 Å³ per atom. The mass density comes out at 3.8 g/cm³. The value obtained for the formation energy (no corrections) is -1153 meV/atom.

Cell lengths 6.1742, 6.1742, 11.6675 Å; angles 74.66, 74.66, 60.00 degrees
Sites, in units of the cell vectors:
Cu: 0.7508 0.7508 0.7476
Cl: 0.5525 0.2274 0.3485
Cl: 0.4475 0.1284 0.6515
Cl: 0.8716 0.5525 0.3485
Cl: 0.7726 0.4475 0.6515
Cu: 0.2492 0.2492 0.2524
Pa: 0.5000 0.5000 0.5000
Tl: 0.0000 0.0000 0.0000
Cl: 0.6858 0.6858 0.9427
Cl: 0.2274 0.8716 0.3485
Cl: 0.3142 0.3142 0.0573
Cl: 0.1284 0.7726 0.6515

The following is a DFT calculation (PBE) of PaTlCuCl6 after structural relaxation.

Its symmetry is No. 163. For the calculated volume, the calculation gives 31.66 Å³ per atom. The mass density comes out at 4.1 g/cm³. The value obtained for the formation energy (no corrections) is -1356 meV/atom.

Cell lengths 6.6697, 6.6697, 14.7926 Å; angles 90.00, 90.00, 120.00 degrees
Sites, in units of the cell vectors:
Cl: 0.0103 0.6441 0.3528
Tl: 0.0000 0.0000 0.5000
Cl: 0.6338 0.6441 0.1472
Cl: 0.6441 0.0103 0.8528
Cl: 0.6441 0.6338 0.6472
Pa: 0.3333 0.6667 0.7500
Pa: 0.6667 0.3333 0.2500
Cl: 0.3662 0.0103 0.6472
Cl: 0.9897 0.6338 0.8528
Cl: 0.6338 0.9897 0.3528
Cl: 0.3662 0.3559 0.8528
Cu: 0.3333 0.6667 0.2500
Cl: 0.3559 0.9897 0.1472
Cl: 0.3559 0.3662 0.3528
Tl: 0.0000 0.0000 0.0000
Cl: 0.0103 0.3662 0.1472
Cl: 0.9897 0.3559 0.6472
Cu: 0.6667 0.3333 0.7500

The following is a DFT calculation (PBE) of CuPb2Cl after structural relaxation.

Its symmetry is No. 99. For the calculated volume, the calculation gives 24.77 Å³ per atom. The mass density comes out at 8.6 g/cm³. The value obtained for the formation energy (no corrections) is -28 meV/atom.

Cell lengths 3.3794, 3.3794, 8.6744 Å; angles 90.00, 90.00, 90.00 degrees
Sites, in units of the cell vectors:
Pb: 0.5000 0.5000 0.2528
Cl: 0.0000 0.0000 0.5755
Pb: 0.0000 0.0000 0.9457
Cu: 0.5000 0.5000 0.7260

The following is a DFT calculation (PBE) of Cu2PbCl after structural relaxation.

Its symmetry is No. 119. For the calculated volume, the calculation gives 19.95 Å³ per atom. The mass density comes out at 7.7 g/cm³. The value obtained for the formation energy (no corrections) is 258 meV/atom.

Cell lengths 5.9799, 5.9799, 5.9799 Å; angles 142.19, 142.19, 54.54 degrees
Sites, in units of the cell vectors:
Cl: 0.7500 0.2500 0.5000
Cu: 0.2500 0.7500 0.5000
Cu: 0.0000 0.0000 0.0000
Pb: 0.5000 0.5000 0.0000

The following is a DFT calculation (PBE) of Cu2PbCl8 after structural relaxation.

Its symmetry is No. 97. For the calculated volume, the calculation gives 26.50 Å³ per atom. The mass density comes out at 3.5 g/cm³. The value obtained for the formation energy (no corrections) is -510 meV/atom.

Cell lengths 6.8624, 6.8624, 7.8658 Å; angles 115.86, 115.86, 90.00 degrees
Sites, in units of the cell vectors:
Cl: 0.2835 0.4607 0.2523
Cl: 0.9688 0.7915 0.2523
Cl: 0.4607 0.9687 0.2523
Pb: 0.5000 0.5000 0.0000
Cl: 0.7165 0.2085 0.7477
Cu: 0.2500 0.7500 0.5000
Cu: 0.7500 0.2500 0.5000
Cl: 0.5393 0.7165 0.7477
Cl: 0.2085 0.0313 0.7477
Cl: 0.0312 0.5393 0.7477
Cl: 0.7915 0.2835 0.2523

The following is a DFT calculation (PBE) of CuPb2Cl6 after structural relaxation.

Its symmetry is No. 136. For the calculated volume, the calculation gives 29.44 Å³ per atom. The mass density comes out at 4.3 g/cm³. The value obtained for the formation energy (no corrections) is -868 meV/atom.

Cell lengths 6.5255, 6.5255, 12.4461 Å; angles 90.00, 90.00, 90.00 degrees
Sites, in units of the cell vectors:
Cu: 0.0000 0.0000 0.0000
Cl: 0.6808 0.6808 0.3621
Cu: 0.5000 0.5000 0.5000
Cl: 0.8192 0.1808 0.8621
Pb: 0.0000 0.0000 0.3367
Pb: 0.0000 0.0000 0.6633
Cl: 0.3192 0.3192 0.6379
Cl: 0.7089 0.7089 0.0000
Cl: 0.3192 0.3192 0.3621
Cl: 0.8192 0.1808 0.1379
Cl: 0.7911 0.2089 0.5000
Cl: 0.6808 0.6808 0.6379
Cl: 0.2911 0.2911 0.0000
Pb: 0.5000 0.5000 0.1633
Cl: 0.1808 0.8192 0.1379
Cl: 0.2089 0.7911 0.5000
Cl: 0.1808 0.8192 0.8621
Pb: 0.5000 0.5000 0.8367